## Nd6GeP2Se3 (GGA-PBE)

Data for a geometry-optimized Nd6GeP2Se3 structure.

Cell and atoms, written as CIF:
```
data_Nd6GeP2Se3
_chemical_formula_sum 'Nd12 Ge2 P4 Se6'
_symmetry_space_group_name_H-M 'C 1 2/m 1'
_symmetry_Int_Tables_number 12
_symmetry_space_group_name_Hall '-C 2y'
_cell_length_a 18.509
_cell_length_b 4.219
_cell_length_c 8.496
_cell_angle_alpha 90.00
_cell_angle_beta 104.01
_cell_angle_gamma 90.00
loop_
_atom_site_label
_atom_site_fract_x
_atom_site_fract_y
_atom_site_fract_z
Nd1 0.004 0.000 0.245
Nd2 0.164 0.500 0.094
Nd3 0.171 0.500 0.573
Ge1 0.000 0.500 0.000
P1 0.167 0.000 0.335
Se1 0.000 0.500 0.500
Se2 0.167 0.000 0.832
```

The raw formation energy comes out at -1.654 eV per atom.